(1)
La4Sm3Se8 | Alexandria | GGA-PBE | optimized geometry; E above lowest polymorph = 0.0000 eV per atom; E = -90.7 eV for the cell shown; uncorrected formation energy = -1.93 eV per atom
1.0
-0.5940 -6.3128 5.6866
7.3356 4.1356 -1.0263
-3.9603 7.3728 1.3875
La Sm Se
4 3 8
direct
0.5000 0.0000 0.0000 La
0.0000 0.5000 0.0000 La
0.0000 0.0000 0.0000 La
0.0000 0.0000 0.5000 La
0.5000 0.5000 0.0000 Sm
0.5000 0.0000 0.5000 Sm
0.5000 0.5000 0.5000 Sm
0.5092 0.2577 0.2577 Se
0.0000 0.7459 0.2541 Se
0.0068 0.2569 0.2569 Se
0.5000 0.7470 0.2530 Se
0.5000 0.2530 0.7470 Se
0.9932 0.7431 0.7431 Se
0.0000 0.2541 0.7459 Se
0.4908 0.7423 0.7423 Se

(2)
Pm2Ni2Ag | Alexandria | GGA-PBE | optimized geometry; E above lowest polymorph = 0.0195 eV per atom; E = -51.2 eV for the cell shown; ΔH_f (0 K) = -332 meV per atom
1.0
3.7409 0.0000 0.0000
0.0000 7.4513 0.0000
0.0000 0.0000 7.4513
Pm Ni Ag
4 4 2
direct
0.5000 0.1771 0.6771 Pm
0.5000 0.6771 0.8229 Pm
0.5000 0.8229 0.3229 Pm
0.5000 0.3229 0.1771 Pm
0.0000 0.3819 0.8819 Ni
0.0000 0.8819 0.6181 Ni
0.0000 0.6181 0.1181 Ni
0.0000 0.1181 0.3819 Ni
0.0000 0.0000 0.0000 Ag
0.0000 0.5000 0.5000 Ag

(3)
CuTe2N | Alexandria | GGA-PBE | optimized geometry; E = -16.2 eV for the cell shown; uncorrected formation energy = 0.64 eV per atom
1.0
2.3899 0.0000 6.5637
-1.1950 2.0697 6.5637
-1.1950 -2.0697 6.5637
Te Cu N
2 1 1
direct
0.9017 0.9017 0.9017 Te
0.0983 0.0983 0.0983 Te
0.5000 0.5000 0.5000 Cu
0.0000 0.0000 0.0000 N

(4)
MnV2As2 | Alexandria | GGA-PBE | optimized geometry; E = -75.6 eV for the cell shown; ΔH_f (0 K) = -220 meV per atom
1.0
-1.0771 -6.5623 -1.0418
3.7048 0.2829 -5.6128
2.6469 -0.7062 1.7116
As Mn V
4 2 4
direct
0.3472 0.8472 0.0000 As
0.8472 0.6528 0.0000 As
0.6528 0.1528 0.0000 As
0.1528 0.3472 0.0000 As
0.0000 0.0000 0.0000 Mn
0.5000 0.5000 0.0000 Mn
0.1420 0.6420 0.5000 V
0.6420 0.8580 0.5000 V
0.8580 0.3580 0.5000 V
0.3580 0.1420 0.5000 V

(5)
Tc4Os | Alexandria | GGA-PBE | optimized geometry; E above lowest polymorph = 0.0000 eV per atom; E = -52.4 eV for the cell shown; ΔH_f (0 K) = 61 meV per atom
1.0
-3.0648 3.0648 1.9390
3.0648 -3.0648 1.9390
3.0648 3.0648 -1.9390
Tc Os
4 1
direct
0.6034 0.7986 0.4020 Tc
0.7986 0.3966 0.1951 Tc
0.3966 0.2014 0.5980 Tc
0.2014 0.6034 0.8049 Tc
0.0000 0.0000 0.0000 Os

(6)
Gd2TmRu | Alexandria | GGA-PBE | optimized geometry; E above lowest polymorph = 0.0000 eV per atom; E = -42.5 eV for the cell shown; ΔH_f (0 K) = -138 meV per atom
1.0
-2.3181 2.4060 0.8484
-1.7460 -2.3320 1.8426
4.7981 2.0879 7.1892
Gd Ru Tm
2 1 1
direct
0.0000 0.0000 0.8114 Gd
0.0000 0.0000 0.1886 Gd
0.5000 0.5000 0.0000 Ru
0.5000 0.5000 0.5000 Tm

(7)
NbRu2WSe | Alexandria | GGA-PBE | optimized geometry; E = -39.7 eV for the cell shown; uncorrected formation energy = 1.07 eV per atom
1.0
-2.7817 -0.6864 3.4107
0.5958 -4.5552 -0.4307
3.4312 0.1808 2.8348
Ru Nb Se W
2 1 1 1
direct
0.0000 0.0000 0.5000 Ru
0.5000 0.0000 0.0000 Ru
0.5000 0.5000 0.5000 Nb
0.0000 0.0000 0.0000 Se
0.0000 0.5000 0.0000 W

(8)
AlSb2P | Alexandria | GGA-PBE | optimized geometry; E above lowest polymorph = 0.4032 eV per atom; E = -15.9 eV for the cell shown; uncorrected formation energy = 0.38 eV per atom
1.0
-3.6144 0.3575 -0.4211
0.2070 -2.9874 -4.3122
-0.6689 -3.7447 2.5622
Sb Al P
2 1 1
direct
0.0000 0.0000 0.0000 Sb
0.5000 0.5000 0.0000 Sb
0.5000 0.0000 0.5000 Al
0.0000 0.5000 0.5000 P

(9)
AgTe2Pd3 | Alexandria | GGA-PBE | optimized geometry; E = -52.0 eV for the cell shown; uncorrected formation energy = -0.21 eV per atom
1.0
4.9769 0.0000 0.0000
-2.4885 7.5008 -0.8607
0.0000 -4.4063 6.9091
Ag Te Pd
2 4 6
direct
0.8717 0.7434 0.8616 Ag
0.1283 0.2566 0.1384 Ag
0.5077 0.0154 0.8003 Te
0.4923 0.9846 0.1997 Te
0.8084 0.6169 0.2104 Te
0.1916 0.3831 0.7896 Te
0.2856 0.5712 0.6060 Pd
0.9640 0.9279 0.6394 Pd
0.6268 0.2535 0.6261 Pd
0.3732 0.7465 0.3739 Pd
0.0360 0.0721 0.3606 Pd
0.7144 0.4288 0.3940 Pd

(10)
Ti2NbCo2 | Alexandria | GGA-PBE | optimized geometry; E above lowest polymorph = 0.1186 eV per atom; E = -80.9 eV for the cell shown; ΔH_f (0 K) = -78 meV per atom
1.0
4.0694 0.0000 0.0000
0.0000 4.6411 -0.3743
0.0000 -2.0573 8.1863
Ti Nb Co
4 2 4
direct
0.2500 0.7988 0.8969 Ti
0.7500 0.2012 0.1031 Ti
0.2500 0.2816 0.5101 Ti
0.7500 0.7184 0.4899 Ti
0.2500 0.6893 0.2469 Nb
0.7500 0.3107 0.7531 Nb
0.2500 0.8765 0.6409 Co
0.7500 0.1235 0.3591 Co
0.2500 0.3133 0.9381 Co
0.7500 0.6867 0.0619 Co

(11)
CdInAg14 | Alexandria | GGA-PBE | optimized geometry; E = -43.3 eV for the cell shown; ΔH_f (0 K) = 14 meV per atom
1.0
5.8715 -0.3082 0.0000
-2.5847 5.2810 0.0000
0.0000 0.0000 9.7179
Cd In Ag
1 1 14
direct
0.5449 0.4551 0.5000 Cd
0.0451 0.9549 0.5000 In
0.2058 0.7942 0.0000 Ag
0.7059 0.2941 0.0000 Ag
0.0445 0.4555 0.5000 Ag
0.2058 0.2939 0.0000 Ag
0.5445 0.9555 0.5000 Ag
0.7061 0.7942 0.0000 Ag
0.3758 0.1254 0.7553 Ag
0.3758 0.1254 0.2447 Ag
0.8746 0.6242 0.7553 Ag
0.8746 0.6242 0.2447 Ag
0.3742 0.6258 0.7541 Ag
0.3742 0.6258 0.2459 Ag
0.8740 0.1260 0.7542 Ag
0.8740 0.1260 0.2458 Ag

(12)
Sm2Ho4TmSc | Alexandria | GGA-PBE | optimized geometry; E = -38.3 eV for the cell shown; ΔH_f (0 K) = 33 meV per atom
1.0
4.9802 0.0000 0.0000
0.0000 4.8946 0.9123
0.0000 3.0824 10.6412
Sm Ho Tm Sc
2 4 1 1
direct
0.0000 0.0000 0.0000 Sm
0.5000 0.0000 0.5000 Sm
0.0000 0.7480 0.7535 Ho
0.0000 0.2520 0.2465 Ho
0.5000 0.7524 0.2461 Ho
0.5000 0.2477 0.7539 Ho
0.0000 0.5000 0.5000 Tm
0.5000 0.5000 0.0000 Sc

(13)
Ce2ErPu3P6 | Alexandria | GGA-PBE | optimized geometry; E = -108.0 eV for the cell shown; ΔH_f (0 K) = -1347 meV per atom
1.0
6.9866 -0.0008 -0.0002
-3.4923 6.0511 -0.0002
-1.1648 -2.0168 6.5453
Ce Er Pu P
2 1 3 6
direct
0.3336 0.6664 0.0000 Ce
0.6664 0.3336 0.0000 Ce
0.0000 0.0000 0.0000 Er
0.1673 0.8327 0.5000 Pu
0.8327 0.1673 0.5000 Pu
0.5000 0.5000 0.5000 Pu
0.9152 0.5848 0.7452 P
0.7552 0.7552 0.2563 P
0.0848 0.4152 0.2548 P
0.5848 0.9152 0.7452 P
0.2448 0.2448 0.7437 P
0.4152 0.0848 0.2548 P

(14)
K2CeDyO4 | Alexandria | GGA-PBE | optimized geometry; E = -53.9 eV for the cell shown; uncorrected formation energy = -2.67 eV per atom
1.0
3.5661 0.0000 0.0000
0.0000 6.1844 0.1081
0.0000 -2.1616 6.2400
K Ce Dy O
2 1 1 4
direct
0.5000 0.0000 0.5000 K
0.0000 0.5000 0.5000 K
0.5000 0.5000 0.0000 Ce
0.0000 0.0000 0.0000 Dy
0.5000 0.2212 0.1858 O
0.5000 0.7788 0.8142 O
0.0000 0.2619 0.8116 O
0.0000 0.7381 0.1884 O

(15)
BaCa2VBr8 | Alexandria | GGA-PBE | optimized geometry; E = -48.8 eV for the cell shown; uncorrected formation energy = -1.70 eV per atom
1.0
6.9033 0.0216 -0.0045
0.0619 6.6690 -0.0076
0.0059 0.0102 8.8959
Ba Ca V Br
1 2 1 8
direct
0.0000 0.0000 0.5000 Ba
0.5000 0.5000 0.7667 Ca
0.5000 0.5000 0.2333 Ca
0.0000 0.0000 0.0000 V
0.1610 0.7674 0.2092 Br
0.6823 0.7513 0.0000 Br
0.8389 0.2326 0.2092 Br
0.8390 0.2326 0.7908 Br
0.3177 0.2487 0.0000 Br
0.1611 0.7674 0.7908 Br
0.6287 0.7241 0.5000 Br
0.3713 0.2759 0.5000 Br

(16)
Nd2HgH3 | Alexandria | GGA-PBE | optimized geometry; E = -45.7 eV for the cell shown
1.0
-2.6336 -1.7861 -2.3238
4.8744 4.2586 -5.4569
2.2416 -6.5437 2.4891
Nd Hg H
4 2 6
direct
0.5267 0.0534 0.7798 Nd
0.4733 0.9466 0.2202 Nd
0.2016 0.4032 0.7246 Nd
0.7984 0.5968 0.2754 Nd
0.1255 0.2510 0.1982 Hg
0.8745 0.7490 0.8018 Hg
0.6939 0.3877 0.9101 H
0.0637 0.1273 0.7089 H
0.4020 0.8041 0.4342 H
0.5980 0.1959 0.5658 H
0.9363 0.8727 0.2911 H
0.3061 0.6123 0.0899 H

(17)
LiTcS3 | Alexandria | GGA-PBE | optimized geometry; E above lowest polymorph = 0.9012 eV per atom; E = -20.6 eV for the cell shown; uncorrected formation energy = 0.81 eV per atom
1.0
4.3600 0.0000 0.0000
0.0000 4.3600 0.0000
0.0000 0.0000 4.3600
S Tc Li
3 1 1
direct
0.0000 0.5000 0.0000 S
0.0000 0.0000 0.5000 S
0.5000 0.0000 0.0000 S
0.5000 0.5000 0.5000 Tc
0.0000 0.0000 0.0000 Li

(18)
MgBiC3 | Alexandria | GGA-PBE | optimized geometry; E above lowest polymorph = 0.3488 eV per atom; E = -18.1 eV for the cell shown; ΔH_f (0 K) = 3005 meV per atom
1.0
-0.4081 -3.3720 -2.9640
3.9526 -1.6812 1.3684
-2.1290 -2.4749 3.1087
C Mg Bi
3 1 1
direct
0.0000 0.5000 0.0000 C
0.0000 0.0000 0.5000 C
0.5000 0.0000 0.0000 C
0.5000 0.5000 0.5000 Mg
0.0000 0.0000 0.0000 Bi

(19)
Li2MgFeSn | Alexandria | GGA-PBE | optimized geometry; E = -16.2 eV for the cell shown; ΔH_f (0 K) = 345 meV per atom
1.0
-0.1258 -2.9926 3.6628
4.3456 -1.8380 -1.3525
2.1962 3.2082 2.6966
Mg Li Sn Fe
1 2 1 1
direct
0.5000 0.5000 0.5000 Mg
0.0000 0.0000 0.5000 Li
0.5000 0.0000 0.0000 Li
0.0000 0.5000 0.0000 Sn
0.0000 0.0000 0.0000 Fe

(20)
Sc2BBr | Alexandria | GGA-PBE | optimized geometry; E above lowest polymorph = 0.3360 eV per atom; E = -44.6 eV for the cell shown; uncorrected formation energy = -0.32 eV per atom
1.0
-1.0832 -1.3482 5.6473
5.6539 -1.5516 0.7140
3.5071 3.6730 4.6381
Sc B Br
4 2 2
direct
0.5436 0.1250 0.2500 Sc
0.2064 0.6250 0.2500 Sc
0.3750 0.4564 0.7500 Sc
0.8750 0.7936 0.7500 Sc
0.5000 0.5000 0.0000 B
0.2500 0.7500 0.5000 B
0.0000 0.0000 0.0000 Br
0.7500 0.2500 0.5000 Br

(21)
Sc5OsPt2 | Alexandria | GGA-PBE | optimized geometry; E = -123.2 eV for the cell shown; ΔH_f (0 K) = -830 meV per atom
1.0
4.5687 0.0000 0.0000
0.0000 5.8501 0.0000
0.0000 0.0000 11.2828
Sc Os Pt
10 2 4
direct
0.0000 0.0000 0.5000 Sc
0.0000 0.5000 0.0000 Sc
0.0000 0.8520 0.2226 Sc
0.0000 0.1480 0.7774 Sc
0.0000 0.6480 0.7226 Sc
0.0000 0.3520 0.2774 Sc
0.5000 0.6646 0.3871 Sc
0.5000 0.3354 0.6129 Sc
0.5000 0.8354 0.8871 Sc
0.5000 0.1646 0.1129 Sc
0.0000 0.5000 0.5000 Os
0.0000 0.0000 0.0000 Os
0.5000 0.6575 0.1227 Pt
0.5000 0.3425 0.8773 Pt
0.5000 0.8425 0.6227 Pt
0.5000 0.1575 0.3773 Pt

(22)
Cs6Rb2F | Alexandria | GGA-PBE | optimized geometry; E = -13.9 eV for the cell shown; uncorrected formation energy = -0.55 eV per atom
1.0
9.3362 0.0000 4.5734
3.5479 8.6358 4.5734
0.3444 0.2309 11.1131
Cs Rb F
6 2 1
direct
0.7338 0.2848 0.2473 Cs
0.2848 0.7341 0.2473 Cs
0.7341 0.7338 0.2473 Cs
0.4247 0.9316 0.7117 Cs
0.9316 0.9319 0.7117 Cs
0.9319 0.4247 0.7117 Cs
0.2839 0.2839 0.1484 Rb
0.4563 0.4563 0.6310 Rb
0.5532 0.5532 0.3404 F

(23)
AsPdS2N | Alexandria | GGA-PBE | optimized geometry; E above lowest polymorph = 0.0000 eV per atom; E = -21.7 eV for the cell shown; uncorrected formation energy = 0.95 eV per atom
1.0
-1.0185 4.5291 1.5075
-4.5629 -0.4711 -1.6674
-1.0621 -1.3315 3.2827
As S Pd N
1 2 1 1
direct
0.5000 0.5000 0.5000 As
0.0000 0.5000 0.0000 S
0.5000 0.0000 0.0000 S
0.0000 0.0000 0.0000 Pd
0.0000 0.0000 0.5000 N